1.
Compound: CaMgPb5
Source: Alexandria
Functional: PBE
Structure: optimized geometry

Cell: 4.816 4.816 9.210 Å, 90.00 90.00 90.00°
Atoms (fractional coordinates):
Pb 0.500 0.500 0.500
Pb 0.500 0.000 0.782
Ca 0.000 0.000 0.500
Mg 0.500 0.500 0.000
Pb 0.000 0.500 0.218
Pb 0.500 0.000 0.218
Pb 0.000 0.500 0.782

Computed properties:
D(E_F) (states/eV/cell): 3.858
Calculated formation energy (kJ per mole of atoms): -14
Electronic total energy (eV per atom): -3.31

2.
Compound: Th6As3Se2S
Source: Alexandria
Functional: PBE
Structure: optimized geometry

Cell: 7.304 7.304 7.221 Å, 99.67 99.67 119.74°
Atoms (fractional coordinates):
Th 0.595 0.918 0.753
As 0.828 0.172 0.500
Th 0.082 0.405 0.247
Th 0.762 0.762 0.252
As 0.500 0.500 0.500
Se 0.665 0.335 0.000
Th 0.405 0.082 0.247
S 0.000 0.000 0.000
Th 0.238 0.238 0.748
Th 0.918 0.595 0.753
Se 0.335 0.665 0.000
As 0.172 0.828 0.500

Computed properties:
D(E_F) (states/eV/cell): 7.896
Uncorrected formation energy (kJ/mol of formula units): -1772
Electronic total energy (eV per atom): -7.33

3.
Compound: VAsPtSe2
Source: Alexandria
Functional: PBE
Structure: optimized geometry

Cell: 4.674 4.674 4.758 Å, 90.00 90.00 90.00°
Atoms (fractional coordinates):
As 0.000 0.000 0.500
Se 0.500 0.000 0.000
Se 0.000 0.500 0.000
Pt 0.500 0.500 0.500
V 0.000 0.000 0.000

Computed properties:
D(E_F) (states/eV/cell): 4.147
Distance to the lowest polymorph of the same formula (meV per atom): 0
Uncorrected formation energy (kJ/mol of formula units): 225
Electronic total energy (eV per atom): -4.89

4.
Compound: PmMg2Ge2Pd
Source: Alexandria
Functional: PBE
Structure: optimized geometry

Cell: 5.190 5.190 6.551 Å, 113.34 113.34 90.00°
Atoms (fractional coordinates):
Ge 0.218 0.218 0.436
Mg 0.750 0.250 0.500
Mg 0.250 0.750 0.500
Pm 0.500 0.500 0.000
Ge 0.782 0.782 0.564
Pd 0.000 0.000 0.000

Computed properties:
D(E_F) (states/eV/cell): 2.874
Calculated formation energy (kJ per mole of atoms): -10
Electronic total energy (eV per atom): -3.83

5.
Compound: Sr2CaCr
Source: Alexandria
Functional: PBE
Structure: optimized geometry

Cell: 7.208 7.208 6.202 Å, 64.54 64.54 33.62°
Atoms (fractional coordinates):
Ca 0.545 0.545 0.456
Sr 0.961 0.961 0.040
Cr 0.242 0.242 0.257
Sr 0.753 0.753 0.747

Computed properties:
D(E_F) (states/eV/cell): 3.730
Calculated formation energy (kJ per mole of atoms): 39
Distance to the lowest polymorph of the same formula (meV per atom): 9
Electronic total energy (eV per atom): -3.34

6.
Compound: Fe2OsPt
Source: Alexandria
Functional: PBE
Structure: optimized geometry

Cell: 2.702 2.702 7.302 Å, 90.00 90.00 90.00°
Atoms (fractional coordinates):
Fe 0.500 0.500 0.252
Os 0.000 0.000 0.473
Fe 0.000 0.000 0.018
Pt 0.500 0.500 0.757

Computed properties:
D(E_F) (states/eV/cell): 3.789
Calculated formation energy (kJ per mole of atoms): 5
Distance to the lowest polymorph of the same formula (meV per atom): 55
Electronic total energy (eV per atom): -8.50